# 1
Below is a geometry-optimized Ac2Pd5Au structure, with properties calculated at the PBE level.

Unit cell a=6.114 b=6.114 c=6.114 alpha=92.16 beta=118.76 gamma=118.76
Sites, in units of the cell vectors:
Pd 0.000 0.778 0.278
Pd 0.000 0.278 0.278
Pd 0.500 0.778 0.778
Pd 0.500 0.278 0.278
Pd 0.000 0.278 0.778
Ac 0.500 0.278 0.778
Ac 0.500 0.778 0.278
Au 0.000 0.777 0.777

## Properties
* total magnetic moment: 0.0 μB per cell
* formation energy from the elements: -0.72 eV/atom

---

# 2
Below is a geometry-optimized Ce4Hg2N structure, with properties calculated at the PBE level.

Unit cell a=4.936 b=4.936 c=8.404 alpha=72.92 beta=72.92 gamma=90.00
Last column: magnetic moment on the atom in μB.
Sites, in units of the cell vectors:
Ce 0.000 0.500 0.000  0.63
Ce 0.162 0.162 0.676  0.87
Ce 0.838 0.838 0.324  0.87
Ce 0.500 0.000 0.000  0.63
Hg 0.636 0.636 0.728  0.01
Hg 0.364 0.364 0.272  0.01
N 0.000 0.000 0.000  -0.06

## Properties
* total magnetic moment: 3.6 μB per cell
* uncorrected formation energy: -51.7 kJ/mol of atoms

---

# 3
Below is a geometry-optimized Ca3HoPu2N6 structure, with properties calculated at the PBE level.

Unit cell a=3.496 b=6.977 c=7.729 alpha=103.24 beta=103.07 gamma=90.00
Last column: magnetic moment on the atom in μB.
Sites, in units of the cell vectors:
Ca 0.166 0.833 0.332  0.01
Ca 0.834 0.167 0.668  0.01
Ca 0.500 0.500 0.000  0.01
N 0.337 0.893 0.673  -0.15
N 0.013 0.246 0.026  -0.12
N 0.663 0.107 0.327  -0.15
N 0.323 0.436 0.645  -0.20
N 0.677 0.564 0.355  -0.20
N 0.987 0.754 0.974  -0.12
Ho 0.500 0.000 0.000  0.03
Pu 0.165 0.329 0.331  3.96
Pu 0.835 0.671 0.669  3.96

## Properties
* total magnetic moment: 7.0 μB per cell
* uncorrected formation energy: -121.2 kJ/mol of atoms

---

# 4
Below is a geometry-optimized Ce6CI3N2 structure, with properties calculated at the PBE level.

Unit cell a=6.496 b=6.496 c=8.050 alpha=97.73 beta=97.73 gamma=120.00
Last column: magnetic moment on the atom in μB.
Sites, in units of the cell vectors:
I 0.834 0.166 0.500  -0.01
I 0.166 0.834 0.500  -0.01
I 0.500 0.500 0.500  -0.01
Ce 0.943 0.607 0.828  0.72
Ce 0.057 0.393 0.172  0.72
Ce 0.607 0.943 0.828  0.72
Ce 0.393 0.057 0.172  0.72
Ce 0.279 0.279 0.829  0.71
Ce 0.721 0.721 0.171  0.71
N 0.333 0.667 0.000  -0.04
N 0.667 0.333 0.000  -0.04
C 0.000 0.000 0.000  -0.03

## Properties
* total magnetic moment: 5.2 μB per cell
* uncorrected formation energy: -95.9 kJ/mol of atoms

---

# 5
Below is a geometry-optimized HoGe2Rh3 structure, with properties calculated at the PBE level.

Unit cell a=4.026 b=8.421 c=9.765 alpha=107.45 beta=90.00 gamma=103.83
Sites, in units of the cell vectors:
Ho 0.837 0.673 0.296
Ho 0.000 0.000 0.000
Ho 0.163 0.327 0.704
Rh 0.039 0.078 0.330
Rh 0.961 0.922 0.670
Rh 0.618 0.236 0.195
Rh 0.216 0.431 0.392
Rh 0.320 0.639 0.042
Rh 0.784 0.569 0.608
Rh 0.500 0.000 0.500
Rh 0.680 0.361 0.958
Rh 0.382 0.764 0.805
Ge 0.539 0.079 0.782
Ge 0.362 0.723 0.546
Ge 0.638 0.277 0.454
Ge 0.808 0.615 0.873
Ge 0.461 0.921 0.218
Ge 0.192 0.385 0.127

## Properties
* total magnetic moment: 0.0 μB per cell
* formation energy from the elements: -0.80 eV/atom

---

# 6
Below is a geometry-optimized YBe2Co structure, with properties calculated at the PBE level.

Unit cell a=4.122 b=4.122 c=7.969 alpha=75.01 beta=75.01 gamma=90.00
Sites, in units of the cell vectors:
Co 0.250 0.750 0.500
Co 0.500 0.500 0.000
Be 0.875 0.625 0.750
Be 0.375 0.625 0.750
Be 0.375 0.125 0.250
Be 0.375 0.625 0.250
Y 0.750 0.250 0.500
Y 0.000 0.000 0.000

## Properties
* total magnetic moment: 0.0 μB per cell
* formation energy from the elements: 0.06 eV/atom